1.
VASP calculation (PBE) on CrCu2As after structural relaxation. Values from VASP.

```
&SYSTEM
  ibrav = 0, nat = 4, ntyp = 3
/
ATOMIC_SPECIES
Cr 52.00 Cr.upf
Cu 63.55 Cu.upf
As 74.92 As.upf
CELL_PARAMETERS angstrom
2.602 0.000 0.000
0.000 2.602 0.000
0.000 0.000 8.087
ATOMIC_POSITIONS crystal
Cr 0.000 0.000 0.000
Cu 0.500 0.500 0.229
Cu 0.500 0.500 0.771
As 0.000 0.000 0.500
```

DOS at the Fermi energy: 4.06 states/eV/cell
space-group type: P4/mmm (123)
crystal system: tetragonal
VASP energy: -21.03 eV per formula unit
M_tot: 0.2 μB/cell

=====

2.
VASP calculation (PBE) on Cd2RuCl after structural relaxation. Values from VASP.

```
&SYSTEM
  ibrav = 0, nat = 16, ntyp = 3
/
ATOMIC_SPECIES
Cd 112.41 Cd.upf
Ru 101.07 Ru.upf
Cl 35.45 Cl.upf
CELL_PARAMETERS angstrom
6.866 0.000 0.000
0.000 6.866 0.000
0.000 0.000 6.866
ATOMIC_POSITIONS crystal
Cd 0.250 0.250 0.250
Cd 0.250 0.250 0.750
Cd 0.250 0.750 0.250
Cd 0.250 0.750 0.750
Cd 0.750 0.250 0.250
Cd 0.750 0.250 0.750
Cd 0.750 0.750 0.250
Cd 0.750 0.750 0.750
Ru 0.000 0.000 0.000
Ru 0.000 0.500 0.500
Ru 0.500 0.000 0.500
Ru 0.500 0.500 0.000
Cl 0.000 0.000 0.500
Cl 0.000 0.500 0.000
Cl 0.500 0.000 0.000
Cl 0.500 0.500 0.500
```

energy relative to the lowest polymorph listed for this composition: 0.592 eV per atom
DOS at the Fermi energy: 18.28 states/eV/cell
space-group type: Fm-3m (225)
crystal system: cubic
ΔE_f (raw): 0.612 eV per atom
M_tot: 5.0 μB/cell